(A)
Below is an optimized crystal structure of YErThMg, with properties calculated at the PBE-GGA level.

Calculated values
- magnetic moment (μB per formula unit) = 0.00
- DOS(E_F) (states/eV/cell) = 29.08

a b c (Å): 7.8067 7.8067 7.8067
angles (deg): 90.00 90.00 90.00
Closest atoms and distances in Å follow each position.
Positions (direct):
Y: 0.0000 0.0000 0.0000  4 Er 3.38, 4 Mg 3.38
Y: 0.0000 0.5000 0.5000  4 Mg 3.38, 4 Er 3.38
Y: 0.5000 0.0000 0.5000  4 Mg 3.38, 4 Er 3.38
Y: 0.5000 0.5000 0.0000  4 Mg 3.38, 4 Er 3.38
Er: 0.2500 0.2500 0.7500  4 Th 3.38, 4 Y 3.38
Er: 0.2500 0.7500 0.2500  4 Th 3.38, 4 Y 3.38
Er: 0.7500 0.2500 0.2500  4 Th 3.38, 4 Y 3.38
Er: 0.7500 0.7500 0.7500  4 Th 3.38, 4 Y 3.38
Th: 0.0000 0.0000 0.5000  4 Mg 3.38, 4 Er 3.38
Th: 0.0000 0.5000 0.0000  4 Mg 3.38, 4 Er 3.38
Th: 0.5000 0.0000 0.0000  4 Mg 3.38, 4 Er 3.38
Th: 0.5000 0.5000 0.5000  4 Mg 3.38, 4 Er 3.38
Mg: 0.2500 0.2500 0.2500  4 Th 3.38, 4 Y 3.38
Mg: 0.2500 0.7500 0.7500  4 Th 3.38, 4 Y 3.38
Mg: 0.7500 0.2500 0.7500  4 Th 3.38, 4 Y 3.38
Mg: 0.7500 0.7500 0.2500  4 Th 3.38, 4 Y 3.38

(B)
Below is an optimized crystal structure of YErThMg, with properties calculated at the PBE-GGA level.

Calculated values
- magnetic moment (μB per formula unit) = 0.00
- DOS(E_F) (states/eV/cell) = 5.14

a b c (Å): 3.5880 3.5880 9.1714
angles (deg): 90.00 90.00 90.00
Closest atoms and distances in Å follow each position.
Positions (direct):
Y: 0.0000 0.0000 0.0000  4 Mg 3.37, 4 Th 3.51, 4 Y 3.59
Er: 0.0000 0.0000 0.4770  4 Mg 3.33, 4 Th 3.47, 4 Er 3.59
Th: 0.5000 0.5000 0.7356  4 Er 3.47, 4 Y 3.51, 4 Th 3.59
Mg: 0.5000 0.5000 0.2411  4 Er 3.33, 4 Y 3.37, 4 Mg 3.59

Energy above the most stable structure, in meV per atom: (A) 137; (B) 0